No. 1
{
  "formula": "CaUIn2Te4",
  "functional": "GGA-PBE",
  "state": "optimized geometry",
  "lattice": [[7.694, 0.000, 0.000], [0.000, 4.481, 0.000], [-2.566, 0.000, 8.086]],
  "species": ["Ca", "U", "In", "In", "Te", "Te", "Te", "Te"],
  "fractional_positions": [[0.000, 0.000, 0.000], [0.500, 0.500, 0.000], [0.000, 0.500, 0.500], [0.500, 0.000, 0.500], [0.255, 0.500, 0.222], [0.272, 0.000, 0.779], [0.728, 0.000, 0.221], [0.745, 0.500, 0.778]],
  "e_tot_ev_per_atom": -4.62,
  "volume_a3_per_atom": 34.845
}

***

No. 2
{
  "formula": "TiH2Pb2",
  "functional": "GGA-PBE",
  "state": "optimized geometry",
  "lattice": [[7.809, 0.000, 0.000], [0.000, 7.809, 0.000], [0.000, 0.000, 3.249]],
  "species": ["Ti", "Ti", "H", "H", "H", "H", "Pb", "Pb", "Pb", "Pb"],
  "fractional_positions": [[0.000, 0.000, 0.000], [0.500, 0.500, 0.000], [0.210, 0.290, 0.500], [0.290, 0.790, 0.500], [0.710, 0.210, 0.500], [0.790, 0.710, 0.500], [0.168, 0.668, 0.000], [0.332, 0.168, 0.000], [0.668, 0.832, 0.000], [0.832, 0.332, 0.000]],
  "e_tot_ev_per_atom": -3.66,
  "volume_a3_per_atom": 19.811
}

***

No. 3
{
  "formula": "BaZn2Cd5",
  "functional": "GGA-PBE",
  "state": "optimized geometry",
  "lattice": [[-2.288, 4.005, 5.350], [2.288, -4.005, 5.350], [2.288, 4.005, -5.350]],
  "species": ["Ba", "Zn", "Zn", "Cd", "Cd", "Cd", "Cd", "Cd"],
  "fractional_positions": [[0.000, 0.000, 0.000], [0.246, 0.746, 0.500], [0.754, 0.254, 0.500], [0.164, 0.351, 0.812], [0.461, 0.649, 0.812], [0.500, 0.000, 0.500], [0.539, 0.351, 0.188], [0.836, 0.649, 0.188]],
  "e_tot_ev_per_atom": -1.31,
  "volume_a3_per_atom": 24.518,
  "formation_energy_ev_per_atom": -0.1794
}

***

No. 4
{
  "formula": "NaZrC3",
  "functional": "GGA-PBE",
  "state": "optimized geometry",
  "lattice": [[3.981, 0.000, 0.000], [0.000, 3.981, 0.000], [0.000, 0.000, 3.981]],
  "species": ["Na", "Zr", "C", "C", "C"],
  "fractional_positions": [[0.000, 0.000, 0.000], [0.500, 0.500, 0.500], [0.000, 0.000, 0.500], [0.000, 0.500, 0.000], [0.500, 0.000, 0.000]],
  "e_tot_ev_per_atom": -4.81,
  "volume_a3_per_atom": 12.622,
  "formation_energy_ev_per_atom": 2.7019
}

***

No. 5
{
  "formula": "Ac5NdPt6",
  "functional": "GGA-PBE",
  "state": "optimized geometry",
  "lattice": [[3.775, -6.536, 0.000], [3.775, 6.536, 0.000], [-2.531, 0.000, 7.123]],
  "species": ["Ac", "Ac", "Ac", "Ac", "Ac", "Nd", "Pt", "Pt", "Pt", "Pt", "Pt", "Pt"],
  "fractional_positions": [[0.000, 0.000, 0.000], [0.166, 0.834, 0.500], [0.332, 0.668, 0.000], [0.668, 0.332, 0.000], [0.834, 0.166, 0.500], [0.500, 0.500, 0.500], [0.092, 0.418, 0.254], [0.256, 0.256, 0.747], [0.418, 0.092, 0.254], [0.582, 0.908, 0.746], [0.744, 0.744, 0.253], [0.908, 0.582, 0.746]],
  "e_tot_ev_per_atom": -6.28,
  "volume_a3_per_atom": 29.290,
  "formation_energy_ev_per_atom": -1.1507
}

***

No. 6
{
  "formula": "LiTbAlGa2",
  "functional": "GGA-PBE",
  "state": "optimized geometry",
  "lattice": [[-2.066, 2.066, 5.548], [2.066, -2.066, 5.548], [2.066, 2.066, -5.548]],
  "species": ["Li", "Tb", "Al", "Ga", "Ga"],
  "fractional_positions": [[0.000, 0.000, 0.000], [0.750, 0.250, 0.500], [0.500, 0.500, 0.000], [0.139, 0.639, 0.500], [0.361, 0.861, 0.500]],
  "e_tot_ev_per_atom": -3.75,
  "volume_a3_per_atom": 18.939,
  "formation_energy_ev_per_atom": -0.4805
}

***

No. 7
{
  "formula": "Tm2ScSb3",
  "functional": "GGA-PBE",
  "state": "optimized geometry",
  "lattice": [[3.709, -6.424, 0.000], [3.709, 6.424, 0.000], [-2.474, 0.000, 6.986]],
  "species": ["Tm", "Tm", "Tm", "Tm", "Sc", "Sc", "Sb", "Sb", "Sb", "Sb", "Sb", "Sb"],
  "fractional_positions": [[0.000, 0.000, 0.000], [0.164, 0.836, 0.500], [0.500, 0.500, 0.500], [0.836, 0.164, 0.500], [0.332, 0.668, 0.000], [0.668, 0.332, 0.000], [0.081, 0.421, 0.243], [0.260, 0.260, 0.760], [0.421, 0.081, 0.243], [0.579, 0.919, 0.757], [0.740, 0.740, 0.240], [0.919, 0.579, 0.757]],
  "e_tot_ev_per_atom": -5.63,
  "volume_a3_per_atom": 27.742
}

***

No. 8
{
  "formula": "CsOF3",
  "functional": "GGA-PBE",
  "state": "optimized geometry",
  "lattice": [[4.961, 0.000, 0.000], [0.000, 4.961, 0.000], [0.000, 0.000, 4.961]],
  "species": ["Cs", "O", "F", "F", "F"],
  "fractional_positions": [[0.000, 0.000, 0.000], [0.500, 0.500, 0.500], [0.000, 0.000, 0.500], [0.000, 0.500, 0.000], [0.500, 0.000, 0.000]],
  "e_tot_ev_per_atom": -2.54,
  "volume_a3_per_atom": 24.427
}

***

Sequential DOS(E_F) output: 0.5306 0.5271 0.5305 0.8540 0.4899 0.2923 0.1712 5.6246 states/eV/atom